Record 1
DFT (PBE) results for an optimized crystal structure of Sc2TaZn.

The magnetization comes out at 0.00 μB per cell. For the uncorrected energy, the calculation gives -95.38 eV per cell. As for the density of states at the Fermi level: 1.569 states/eV/atom. As for the formation energy: 486 meV/atom.

The structure belongs to space group I-42d (No. 122); the cell edges are 4.019, 4.019 and 19.867 Å and the angles 90.00°, 90.00° and 90.00°. The asymmetric unit holds Sc at (0.249, 0.250, 0.125), Ta at (0.000, 0.000, 0.500) and Zn at (0.000, 0.000, 0.000).

Record 2
DFT (PBE) results for an optimized crystal structure of ScTa2Zn.

The magnetization comes out at 0.00 μB per cell. For the uncorrected energy, the calculation gives -29.94 eV per cell. As for the density of states at the Fermi level: 1.052 states/eV/atom. As for the formation energy: 343 meV/atom.

The structure belongs to space group P4/mmm (No. 123); the cell edges are 4.942, 4.942 and 2.973 Å and the angles 90.00°, 90.00° and 90.00°. The asymmetric unit holds Sc at (0.000, 0.000, 0.000), Ta at (0.000, 0.500, 0.500) and Zn at (0.500, 0.500, 0.000).

Record 3
DFT (PBE) results for an optimized crystal structure of ScTa2Zn.

The magnetization comes out at 0.00 μB per cell. For the uncorrected energy, the calculation gives -30.99 eV per cell. As for the density of states at the Fermi level: 1.104 states/eV/atom. As for the formation energy: 80 meV/atom.

The structure belongs to space group Pmmm (No. 47); the cell edges are 3.255, 4.574 and 4.924 Å and the angles 90.00°, 90.00° and 90.00°. The asymmetric unit holds Sc at (0.000, 0.000, 0.000), Ta at (0.000, 0.500, 0.500), Ta at (0.500, 0.000, 0.500) and Zn at (0.500, 0.500, 0.000).

Record 4
DFT (PBE) results for an optimized crystal structure of ScTa2Zn.

The magnetization comes out at 0.00 μB per cell. For the uncorrected energy, the calculation gives -31.23 eV per cell. As for the density of states at the Fermi level: 1.085 states/eV/atom. As for the formation energy: 21 meV/atom.

The structure belongs to space group P4mm (No. 99); the cell edges are 3.438, 3.438 and 6.319 Å and the angles 90.00°, 90.00° and 90.00°. The asymmetric unit holds Sc at (0.000, 0.000, 0.000), Ta at (0.000, 0.000, 0.494), Ta at (0.500, 0.500, 0.283) and Zn at (0.500, 0.500, 0.741).

Record 5
DFT (PBE) results for an optimized crystal structure of Sc2TaZn.

The magnetization comes out at 0.00 μB per cell. For the uncorrected energy, the calculation gives -50.95 eV per cell. As for the density of states at the Fermi level: 1.533 states/eV/atom. As for the formation energy: 79 meV/atom.

The structure belongs to space group I-4m2 (No. 119); the cell edges are 4.164, 4.164 and 8.907 Å and the angles 90.00°, 90.00° and 90.00°. The asymmetric unit holds Sc at (0.000, 0.000, 0.000), Sc at (0.000, 0.500, 0.250), Ta at (0.000, 0.500, 0.750) and Zn at (0.000, 0.000, 0.500).

Record 6
DFT (PBE) results for an optimized crystal structure of ScTa2Zn.

The magnetization comes out at 0.00 μB per cell. For the uncorrected energy, the calculation gives -62.08 eV per cell. As for the density of states at the Fermi level: 0.701 states/eV/atom. As for the formation energy: 68 meV/atom.

The structure belongs to space group I4/mmm (No. 139); the cell edges are 4.044, 4.044 and 8.922 Å and the angles 90.00°, 90.00° and 90.00°. The asymmetric unit holds Sc at (0.000, 0.000, 0.000), Ta at (0.000, 0.500, 0.250) and Zn at (0.000, 0.000, 0.500).

Record 7
DFT (PBE) results for an optimized crystal structure of Sc2TaZn.

The magnetization comes out at 0.00 μB per cell. For the uncorrected energy, the calculation gives -25.76 eV per cell. As for the density of states at the Fermi level: 1.464 states/eV/atom. As for the formation energy: 6 meV/atom.

The structure belongs to space group P4mm (No. 99); the cell edges are 3.020, 3.020 and 8.701 Å and the angles 90.00°, 90.00° and 90.00°. The asymmetric unit holds Sc at (0.000, 0.000, 0.000), Sc at (0.500, 0.500, 0.308), Ta at (0.000, 0.000, 0.557) and Zn at (0.500, 0.500, 0.775).

Record 8
DFT (PBE) results for an optimized crystal structure of Sc2TaZn.

The magnetization comes out at 0.00 μB per cell. For the uncorrected energy, the calculation gives -25.62 eV per cell. As for the density of states at the Fermi level: 1.073 states/eV/atom. As for the formation energy: 43 meV/atom.

The structure belongs to space group Pmm2 (No. 25); the cell edges are 2.968, 4.897 and 5.425 Å and the angles 90.00°, 90.00° and 90.00°. The asymmetric unit holds Sc at (0.000, 0.000, 0.000), Sc at (0.000, 0.500, 0.352), Ta at (0.500, 0.500, 0.834) and Zn at (0.500, 0.000, 0.530).

Record 9
DFT (PBE) results for an optimized crystal structure of ScTa2Zn.

The magnetization comes out at 0.00 μB per cell. For the uncorrected energy, the calculation gives -61.44 eV per cell. As for the density of states at the Fermi level: 1.036 states/eV/atom. As for the formation energy: 148 meV/atom.

The structure belongs to space group C2/m (No. 12); the cell edges are 5.592, 9.812 and 2.863 Å and the angles 90.00°, 110.83° and 90.00°. The asymmetric unit holds Sc at (0.000, 0.000, 0.000), Ta at (0.250, 0.250, 0.500) and Zn at (0.000, 0.500, 0.000).

Record 10
DFT (PBE) results for an optimized crystal structure of ScTa2Zn.

The magnetization comes out at 0.00 μB per cell. For the uncorrected energy, the calculation gives -91.45 eV per cell. As for the density of states at the Fermi level: 1.228 states/eV/atom. As for the formation energy: 207 meV/atom.

The structure belongs to space group R-3m (No. 166, hexagonal axes); the cell edges are 2.9769, 2.9769 and 29.2788 Å and the angles 90.00°, 90.00° and 120.00°. The asymmetric unit holds Sc at (0.0000, 0.0000, 0.0000), Ta at (0.0000, 0.0000, 0.2459) and Zn at (0.0000, 0.0000, 0.5000).

Record 11
DFT (PBE) results for an optimized crystal structure of ScTa2Zn.

The magnetization comes out at 0.00 μB per cell. For the uncorrected energy, the calculation gives -115.88 eV per cell. As for the density of states at the Fermi level: 1.164 states/eV/atom. As for the formation energy: 585 meV/atom.

The structure belongs to space group I-42d (No. 122); the cell edges are 7.612, 7.612 and 5.367 Å and the angles 90.00°, 90.00° and 90.00°. The asymmetric unit holds Sc at (0.000, 0.000, 0.000), Ta at (0.220, 0.250, 0.625) and Zn at (0.000, 0.000, 0.500).

Record 12
DFT (PBE) results for an optimized crystal structure of ScTa2Zn.

The magnetization comes out at 0.00 μB per cell. For the uncorrected energy, the calculation gives -30.52 eV per cell. As for the density of states at the Fermi level: 0.805 states/eV/atom. As for the formation energy: 198 meV/atom.

The structure belongs to space group Pmmm (No. 47); the cell edges are 2.915, 4.467 and 5.702 Å and the angles 90.00°, 90.00° and 90.00°. The asymmetric unit holds Sc at (0.000, 0.000, 0.000), Ta at (0.500, 0.500, 0.246) and Zn at (0.000, 0.000, 0.500).

Record 13
DFT (PBE) results for an optimized crystal structure of Sc2TaZn.

The magnetization comes out at 0.00 μB per cell. For the uncorrected energy, the calculation gives -26.14 eV per cell. As for the density of states at the Fermi level: 1.068 states/eV/atom. As for the formation energy: -87 meV/atom.

The structure belongs to space group P4/mmm (No. 123); the cell edges are 3.107, 3.107 and 8.094 Å and the angles 90.00°, 90.00° and 90.00°. The asymmetric unit holds Sc at (0.000, 0.000, 0.237), Ta at (0.500, 0.500, 0.500) and Zn at (0.500, 0.500, 0.000).

Record 14
DFT (PBE) results for an optimized crystal structure of ScTa2Zn.

The magnetization comes out at 0.00 μB per cell. For the uncorrected energy, the calculation gives -62.36 eV per cell. As for the density of states at the Fermi level: 0.987 states/eV/atom. As for the formation energy: 33 meV/atom.

The structure belongs to space group Cmm2 (No. 35); the cell edges are 3.614, 4.476 and 9.089 Å and the angles 90.00°, 90.00° and 90.00°. The asymmetric unit holds Sc at (0.000, 0.000, 0.000), Ta at (0.000, 0.000, 0.484), Ta at (0.000, 0.500, 0.733) and Zn at (0.000, 0.500, 0.249).

Record 15
DFT (PBE) results for an optimized crystal structure of ScTa2Zn.

The magnetization comes out at 0.00 μB per cell. For the uncorrected energy, the calculation gives -62.18 eV per cell. As for the density of states at the Fermi level: 0.874 states/eV/atom. As for the formation energy: 56 meV/atom.

The structure belongs to space group Immm (No. 71); the cell edges are 3.293, 4.547 and 9.864 Å and the angles 90.00°, 90.00° and 90.00°. The asymmetric unit holds Sc at (0.000, 0.000, 0.000), Ta at (0.000, 0.500, 0.234) and Zn at (0.000, 0.000, 0.500).